## YSiMo2 (GGA-PBE)

Data for a geometry-optimized YSiMo2 structure.

abc: 4.625 4.625 4.625
angles: 60.00 60.00 60.00
Fractional positions:
Mo: 0.750 0.750 0.750
Mo: 0.000 0.000 0.000
Y: 0.250 0.250 0.250
Si: 0.500 0.500 0.500

Results
As for the crystal system: cubic. The value obtained for the total moment is 0.00 μB/cell.

## Pr2Y2CBr3Cl2 (GGA-PBE)

Data for a geometry-optimized Pr2Y2CBr3Cl2 structure.

abc: 8.951 8.951 8.540
angles: 102.73 102.73 25.17
Fractional positions:
Pr: 0.997 0.997 0.205
Pr: 0.003 0.003 0.795
Br: 0.174 0.174 0.325
Br: 0.826 0.826 0.675
Br: 0.500 0.500 0.500
Y: 0.642 0.642 0.073
Y: 0.358 0.358 0.927
Cl: 0.824 0.824 0.134
Cl: 0.176 0.176 0.866
C: 0.500 0.500 0.000

Results
As for the crystal system: monoclinic. The value obtained for the total moment is 0.00 μB/cell.

## Co2Si3 (GGA-PBE)

Data for a geometry-optimized Co2Si3 structure.

abc: 5.320 5.320 6.280
angles: 115.06 64.94 120.00
Fractional positions:
Si: 0.609 0.750 0.250
Si: 0.250 0.109 0.250
Si: 0.891 0.391 0.250
Si: 0.109 0.609 0.750
Si: 0.391 0.250 0.750
Si: 0.750 0.891 0.750
Co: 0.171 0.829 0.488
Co: 0.329 0.671 0.012
Co: 0.829 0.171 0.512
Co: 0.671 0.329 0.988

Results
As for the crystal system: trigonal. The value obtained for the total moment is 0.04 μB/cell.

## Sr2GdOsO6 (GGA-PBE)

Data for a geometry-optimized Sr2GdOsO6 structure.

abc: 5.781 5.817 5.840
angles: 90.35 119.26 119.70
Each line ends with the local moment (μB).
Fractional positions:
Os: 0.500 0.500 0.000  2.01
O: 0.423 0.276 0.683  0.11
O: 0.969 0.682 0.195  0.10
O: 0.476 0.206 0.174  0.10
O: 0.577 0.724 0.317  0.11
O: 0.524 0.794 0.826  0.10
O: 0.031 0.318 0.805  0.10
Gd: 0.500 0.000 0.500  0.05
Sr: 0.008 0.749 0.765  0.01
Sr: 0.992 0.251 0.235  0.01

Results
As for the crystal system: triclinic. The value obtained for the total moment is 3.00 μB/cell.

## Nb (GGA-PBE)

Data for a geometry-optimized Nb structure.

abc: 3.237 4.599 5.593
angles: 65.72 90.00 90.00
Fractional positions:
Nb: 0.500 0.135 0.729
Nb: 0.000 0.635 0.729
Nb: 0.000 0.365 0.271
Nb: 0.500 0.865 0.271

Results
As for the crystal system: orthorhombic. The value obtained for the total moment is 0.00 μB/cell.

## YScU (GGA-PBE)

Data for a geometry-optimized YScU structure.

abc: 5.121 5.121 5.121
angles: 60.00 60.00 60.00
Fractional positions:
Sc: 0.000 0.000 0.000
U: 0.250 0.250 0.250
Y: 0.750 0.750 0.750

Results
As for the crystal system: cubic. The value obtained for the total moment is 3.83 μB/cell.

Calculated total energy values (in eV/atom) by entry order: -8.324, -5.583, -6.312, -7.339, -9.750, -6.830.